--- w ---
This record from OQMD describes crystalline AcAgNO at its relaxed geometry. The functional is PBE.

abc: 7.317 6.583 5.614
angles: 90.00 90.00 90.00
Space group Pca2_1 (No. 29)
One atom of each set of equivalent atoms:
Ac 0.086 0.237 0.000 [4 per cell]
Ag 0.148 0.719 0.019 [4 per cell]
N 0.085 0.105 0.458 [4 per cell]
O 0.153 0.499 0.652 [4 per cell]


--- x ---
This record from OQMD describes crystalline AcAgNO at its relaxed geometry. The functional is PBE.

abc: 3.776 6.039 6.051
angles: 90.00 90.00 90.00
Space group Pmc2_1 (No. 26)
One atom of each set of equivalent atoms:
Ac 0.000 0.206 0.000 [2 per cell]
Ag 0.500 0.271 0.513 [2 per cell]
N 0.500 0.011 0.266 [2 per cell]
O 0.000 0.440 0.674 [2 per cell]


Stability check: which of them is most stable? x.


--- w ---
This record from OQMD describes crystalline Ac2Ag2O5 at its relaxed geometry. The functional is PBE.

abc: 4.536 4.536 8.356
angles: 90.00 90.00 90.00
Space group P4/mmm (No. 123)
One atom of each set of equivalent atoms:
Ac 0.000 0.000 0.225 [2 per cell]
Ag 0.500 0.500 0.000 [1 per cell]
Ag 0.500 0.500 0.500 [1 per cell]
O 0.000 0.000 0.500 [1 per cell]
O 0.000 0.500 0.180 [4 per cell]


--- x ---
This record from OQMD describes crystalline Ac2Ag2O5 at its relaxed geometry. The functional is PBE.

abc: 4.226 4.226 7.411
angles: 90.00 90.00 90.00
Space group P4/mmm (No. 123)
One atom of each set of equivalent atoms:
Ac 0.000 0.000 0.000 [1 per cell]
Ac 0.000 0.000 0.500 [1 per cell]
Ag 0.500 0.500 0.202 [2 per cell]
O 0.000 0.500 0.219 [4 per cell]
O 0.500 0.500 0.500 [1 per cell]


Stability check: which of them is most stable? x.


--- w ---
This record from OQMD describes crystalline AcAgOs at its relaxed geometry. The functional is PBE.

abc: 6.902 6.902 6.902
angles: 90.00 90.00 90.00
Space group F-43m (No. 216)
One atom of each set of equivalent atoms:
Ac 0.000 0.000 0.000 [4 per cell]
Ag 0.250 0.250 0.750 [4 per cell]
Os 0.250 0.250 0.250 [4 per cell]


--- x ---
This record from OQMD describes crystalline AcAgOs at its relaxed geometry. The functional is PBE.

abc: 6.800 6.800 6.800
angles: 90.00 90.00 90.00
Space group F-43m (No. 216)
One atom of each set of equivalent atoms:
Ac 0.000 0.000 0.000 [4 per cell]
Ag 0.250 0.250 0.250 [4 per cell]
Os 0.000 0.000 0.500 [4 per cell]


Stability check: which of them is most stable? x.